Computed, not measured: a relaxed structure of Sr8ZnBi5 at the PBE level of DFT.

Properties
ΔE_f = -0.780 eV/atom
ρ = 5.619 Mg/m³

a = 10.2303 Å, b = 10.2303 Å, c = 10.2296 Å
α = 90.00°, β = 90.00°, γ = 90.00°
Last column: nearest neighbours and their distance in Å.
Space group I-4 (No. 82)
Unique sites:
Sr (0.0725, 0.1702, 0.2004) x8  5 Bi 3.40-3.69, 1 Zn 3.49, 1 Sr 3.79
Sr (0.0747, 0.3152, 0.5658) x8  5 Bi 3.37-3.76
Zn (0.0000, 0.5000, 0.2500) x2  8 Sr 3.49-3.82
Bi (0.0000, 0.0000, 0.5000) x2  8 Sr 3.38-3.60
Bi (0.1335, 0.2483, 0.8830) x8  8 Sr 3.37-3.76